Record 1
4
Lattice="4.658 0.000 0.000 0.000 5.097 0.000 0.000 0.000 8.025" Properties=species:S:1:pos:R:3 comment="IBr3 | Alexandria | PBE | optimized geometry" rho_g_cm3=3.19 formation_energy_uncorrected_mev_per_atom=53 e_tot_ev_per_atom=-1.590 pbc="T T T"
I 0.000 0.000 0.000
Br 0.000 2.549 7.213
Br 2.329 0.000 3.977
Br 2.329 2.549 3.312

=====

Record 2
4
Lattice="5.480 0.000 0.000 0.000 4.139 0.000 -0.180 0.000 7.525" Properties=species:S:1:pos:R:3 comment="IBr | Alexandria | PBE | optimized geometry" rho_g_cm3=4.02 formation_energy_uncorrected_mev_per_atom=86 e_tot_ev_per_atom=-1.526 de_polymorph_mev_per_atom=134 pbc="T T T"
I 0.546 1.035 2.882
I 4.754 3.104 4.642
Br 1.843 3.104 1.163
Br 3.457 1.035 6.362

=====

Record 3
12
Lattice="8.885 0.000 0.000 0.000 8.885 0.000 0.000 0.000 8.885" Properties=species:S:1:pos:R:3 comment="IBr | Alexandria | PBE | optimized geometry" rho_g_cm3=2.94 formation_energy_uncorrected_mev_per_atom=479 e_tot_ev_per_atom=-1.133 de_polymorph_mev_per_atom=527 pbc="T T T"
I 0.000 2.221 4.443
I 0.000 6.664 4.443
I 2.221 4.443 0.000
I 4.443 0.000 2.221
I 4.443 0.000 6.664
I 6.664 4.443 0.000
Br 0.000 4.443 2.221
Br 0.000 4.443 6.664
Br 2.221 0.000 4.443
Br 4.443 2.221 0.000
Br 4.443 6.664 0.000
Br 6.664 0.000 4.443